1.
# GGA-PBE Cu3Ag, optimized geometry
# **Formation energy**: 34 kJ/mol of formula units
data_Cu3Ag
_space_group_name_H-M_alt 'C 1 2/m 1'
_space_group_IT_number 12
_space_group_name_Hall '-C 2y'
_cell_length_a 8.7338
_cell_length_b 2.7030
_cell_length_c 4.6124
_cell_angle_alpha 90.00
_cell_angle_beta 100.68
_cell_angle_gamma 90.00
loop_
_atom_site_label
_atom_site_fract_x
_atom_site_fract_y
_atom_site_fract_z
_atom_site_occupancy
Cu1 0.0000 0.0000 0.0000 1
Cu2 0.2446 0.5000 0.2337 1
Ag1 0.0000 0.5000 0.5000 1



2.
# GGA-PBE YOsAu, optimized geometry
# **Formation energy**: 174 kJ/mol of formula units
data_YOsAu
_space_group_name_H-M_alt 'P -6 m 2'
_space_group_IT_number 187
_space_group_name_Hall 'P -6 2'
_cell_length_a 5.0354
_cell_length_b 5.0354
_cell_length_c 2.7401
_cell_angle_alpha 90.00
_cell_angle_beta 90.00
_cell_angle_gamma 120.00
loop_
_atom_site_label
_atom_site_fract_x
_atom_site_fract_y
_atom_site_fract_z
_atom_site_occupancy
Y1 0.0000 0.0000 0.0000 1
Os1 0.3333 0.6667 0.0000 1
Au1 0.6667 0.3333 0.0000 1



3.
Density functional theory data (GGA-PBE) for a relaxed ZrAlGa2 crystal.

Cell and atoms, written as CIF:
```
data_ZrAlGa2
_space_group_name_H-M_alt 'F -4 3 m'
_space_group_IT_number 216
_space_group_name_Hall 'F -4 2 3'
_cell_length_a 6.6969
_cell_length_b 6.6969
_cell_length_c 6.6969
_cell_angle_alpha 90.00
_cell_angle_beta 90.00
_cell_angle_gamma 90.00
loop_
_atom_site_label
_atom_site_fract_x
_atom_site_fract_y
_atom_site_fract_z
_atom_site_occupancy
Zr1 0.0000 0.0000 0.0000 1
Al1 0.2500 0.2500 0.7500 1
Ga1 0.0000 0.0000 0.5000 1
Ga2 0.2500 0.2500 0.2500 1
```



4.
Density functional theory data (GGA-PBE) for a relaxed PuBiTe crystal.

Cell and atoms, written as CIF:
```
data_PuBiTe
_space_group_name_H-M_alt 'F -4 3 m'
_space_group_IT_number 216
_space_group_name_Hall 'F -4 2 3'
_cell_length_a 7.3900
_cell_length_b 7.3900
_cell_length_c 7.3900
_cell_angle_alpha 90.00
_cell_angle_beta 90.00
_cell_angle_gamma 90.00
loop_
_atom_site_label
_atom_site_fract_x
_atom_site_fract_y
_atom_site_fract_z
_atom_site_occupancy
Pu1 0.0000 0.0000 0.0000 1
Bi1 0.0000 0.0000 0.5000 1
Te1 0.2500 0.2500 0.7500 1
```



5.
Density functional theory data (GGA-PBE) for a relaxed Mo2Pb3W4N3 crystal.

Cell and atoms, written as CIF:
```
data_Mo2Pb3W4N3
_space_group_name_H-M_alt 'C 1 2/c 1'
_space_group_IT_number 15
_space_group_name_Hall '-C 2yc'
_cell_length_a 10.0641
_cell_length_b 5.8127
_cell_length_c 13.5366
_cell_angle_alpha 90.00
_cell_angle_beta 104.45
_cell_angle_gamma 90.00
loop_
_atom_site_label
_atom_site_fract_x
_atom_site_fract_y
_atom_site_fract_z
_atom_site_occupancy
Mo1 0.0557 0.0810 0.4254 1
Pb1 0.0000 0.4189 0.2500 1
Pb2 0.1682 0.0846 0.7510 1
W1 0.1065 0.4111 0.5698 1
W2 0.2294 0.4195 0.9303 1
N1 0.0843 0.2525 0.0000 1
N2 0.2500 0.2500 0.5000 1
```



6.
Density functional theory data (GGA-PBE) for a relaxed TbSi2Tc crystal.

Cell and atoms, written as CIF:
```
data_TbSi2Tc
_space_group_name_H-M_alt 'P n m a'
_space_group_IT_number 62
_space_group_name_Hall '-P 2ac 2n'
_cell_length_a 6.6175
_cell_length_b 6.2303
_cell_length_c 6.7848
_cell_angle_alpha 90.00
_cell_angle_beta 90.00
_cell_angle_gamma 90.00
loop_
_atom_site_label
_atom_site_fract_x
_atom_site_fract_y
_atom_site_fract_z
_atom_site_occupancy
Tb1 0.0109 0.2500 0.1679 1
Si1 0.1705 0.0626 0.5503 1
Tc1 0.1530 0.7500 0.3324 1
```



7.
Density functional theory data (GGA-PBE) for a relaxed Li4Al2IrAu crystal.

Cell and atoms, written as CIF:
```
data_Li4Al2IrAu
_space_group_name_H-M_alt 'P -4 m 2'
_space_group_IT_number 115
_space_group_name_Hall 'P -4 -2'
_cell_length_a 4.2973
_cell_length_b 4.2973
_cell_length_c 6.0955
_cell_angle_alpha 90.00
_cell_angle_beta 90.00
_cell_angle_gamma 90.00
loop_
_atom_site_label
_atom_site_fract_x
_atom_site_fract_y
_atom_site_fract_z
_atom_site_occupancy
Li1 0.0000 0.0000 0.0000 1
Li2 0.0000 0.5000 0.7472 1
Li3 0.5000 0.5000 0.5000 1
Al1 0.0000 0.5000 0.2740 1
Ir1 0.0000 0.0000 0.5000 1
Au1 0.5000 0.5000 0.0000 1
```



8.
Density functional theory data (GGA-PBE) for a relaxed LuTlZnFe crystal.

Cell and atoms, written as CIF:
```
data_LuTlZnFe
_space_group_name_H-M_alt 'F -4 3 m'
_space_group_IT_number 216
_space_group_name_Hall 'F -4 2 3'
_cell_length_a 6.7076
_cell_length_b 6.7076
_cell_length_c 6.7076
_cell_angle_alpha 90.00
_cell_angle_beta 90.00
_cell_angle_gamma 90.00
loop_
_atom_site_label
_atom_site_fract_x
_atom_site_fract_y
_atom_site_fract_z
_atom_site_occupancy
Lu1 0.0000 0.0000 0.0000 1
Tl1 0.0000 0.0000 0.5000 1
Zn1 0.2500 0.2500 0.2500 1
Fe1 0.2500 0.2500 0.7500 1
```



Electronic total energy values, unit hartree per atom, following the record order: -0.1251, -0.2346, -0.1667, -0.2692, -0.3199, -0.2625, -0.1436, -0.1455.